VASP calculation (GGA-PBE) on MnNb3I after structural relaxation.

Output
Density of states at the Fermi level, states/eV/f.u.: 6.186
Total moment, μB/f.u.: 2.84
ΔE_f (raw), eV/f.u.: 8.988

Cell: 5.013 5.013 5.013 Å, 90.00 90.00 90.00°
Space group Pm-3m (No. 221)
Symmetry-distinct sites (fractional):
Mn: 0.000 0.000 0.000 x1
Nb: 0.000 0.500 0.500 x3
I: 0.500 0.500 0.500 x1